Crystalline Sm2GaBr at its relaxed geometry, computed with GGA-PBE.

Cell: 5.088 5.089 5.892 Å, 90.00 90.00 120.11°
Fractional positions:
Br1 0.403 0.829 0.130
Ga1 0.736 0.496 0.630
Sm1 0.403 0.829 0.630
Sm2 0.736 0.496 0.130

* energy: -4.14 eV/atom
* E_form (uncorrected): -58.8 kJ per mole of atoms